# Nb4Sn3Mo2N3

An optimized crystal structure of Nb4Sn3Mo2N3 (PBE, OQMD).

Calculated values
- size of the total moment (μB per cell) = 0.0
- volume (Å³/f.u.) = 187

Cell lengths 5.658, 5.658, 13.891 Å; angles 101.83, 101.83, 59.76 degrees
Atoms (fractional coordinates):
Sn 0.415 0.259 0.749
Sn 0.585 0.741 0.251
Mo 0.471 0.628 0.920
N 0.331 0.837 0.500
Mo 0.628 0.471 0.420
N 0.837 0.331 0.000
Nb 0.306 0.150 0.419
Nb 0.150 0.306 0.919
Sn 0.741 0.585 0.751
Sn 0.911 0.089 0.250
Mo 0.372 0.529 0.580
N 0.669 0.163 0.500
Sn 0.259 0.415 0.249
Nb 0.017 0.204 0.581
Nb 0.204 0.017 0.081
Sn 0.089 0.911 0.750
Nb 0.850 0.694 0.081
N 0.500 0.000 0.000
Mo 0.529 0.372 0.080
N 0.163 0.669 0.000
Nb 0.694 0.850 0.581
Nb 0.983 0.796 0.419
N 0.000 0.500 0.500
Nb 0.796 0.983 0.919


# Nb4Tl3Mo2N3

An optimized crystal structure of Nb4Tl3Mo2N3 (PBE, OQMD).

Calculated values
- size of the total moment (μB per cell) = 0.0
- volume (Å³/f.u.) = 192

Cell lengths 5.657, 5.657, 14.263 Å; angles 101.29, 101.29, 59.67 degrees
Atoms (fractional coordinates):
N 0.000 0.500 0.000
Tl 0.742 0.585 0.252
Mo 0.526 0.369 0.574
Mo 0.474 0.631 0.426
N 0.670 0.160 0.000
Nb 0.987 0.795 0.922
Nb 0.013 0.205 0.078
Nb 0.795 0.987 0.422
Tl 0.415 0.258 0.248
N 0.330 0.840 0.000
N 0.160 0.670 0.500
Nb 0.307 0.153 0.922
Mo 0.631 0.474 0.926
Nb 0.847 0.693 0.578
N 0.840 0.330 0.500
Nb 0.205 0.013 0.578
Tl 0.585 0.742 0.752
Nb 0.693 0.847 0.078
Tl 0.258 0.415 0.748
N 0.500 0.000 0.500
Tl 0.911 0.089 0.750
Tl 0.089 0.911 0.250
Mo 0.369 0.526 0.074
Nb 0.153 0.307 0.422


# Nb2Tl3Mo4N3

An optimized crystal structure of Nb2Tl3Mo4N3 (PBE, OQMD).

Calculated values
- size of the total moment (μB per cell) = 0.0
- volume (Å³/f.u.) = 189

Cell lengths 5.731, 5.731, 14.020 Å; angles 101.81, 101.81, 57.48 degrees
Atoms (fractional coordinates):
N 0.346 0.826 0.505
Mo 0.966 0.819 0.427
Mo 0.181 0.034 0.073
Mo 0.126 0.313 0.925
Tl 0.753 0.586 0.747
Tl 0.247 0.414 0.253
N 0.000 0.500 0.500
Tl 0.414 0.247 0.753
Mo 0.034 0.181 0.573
N 0.654 0.174 0.495
Tl 0.586 0.753 0.247
Mo 0.313 0.126 0.425
Mo 0.819 0.966 0.927
N 0.826 0.346 0.005
N 0.500 0.000 0.000
Nb 0.467 0.659 0.922
Tl 0.931 0.069 0.250
Mo 0.687 0.874 0.575
Nb 0.659 0.467 0.422
Mo 0.874 0.687 0.075
N 0.174 0.654 0.995
Tl 0.069 0.931 0.750
Nb 0.533 0.341 0.078
Nb 0.341 0.533 0.578


# Tm3Nb3Mo2N12

An optimized crystal structure of Tm3Nb3Mo2N12 (PBE, OQMD).

Calculated values
- size of the total moment (μB per cell) = 0.0
- volume (Å³/f.u.) = 257

Cell lengths 11.008, 11.008, 11.008 Å; angles 109.47, 109.47, 109.47 degrees
Atoms (fractional coordinates):
N 0.619 0.704 0.528
Tm 0.125 0.375 0.750
N 0.910 0.381 0.585
N 0.325 0.915 0.296
Tm 0.375 0.750 0.125
Tm 0.625 0.250 0.875
N 0.528 0.619 0.704
N 0.796 0.415 0.825
N 0.296 0.325 0.915
N 0.972 0.796 0.881
N 0.090 0.972 0.675
N 0.472 0.381 0.296
N 0.619 0.415 0.090
Mo 0.500 0.000 0.500
Nb 0.875 0.125 0.750
Nb 0.625 0.375 0.250
N 0.972 0.675 0.090
N 0.704 0.675 0.085
N 0.796 0.881 0.972
N 0.175 0.472 0.590
Nb 0.750 0.875 0.125
N 0.204 0.585 0.175
N 0.090 0.619 0.415
Nb 0.250 0.625 0.375
Nb 0.625 0.750 0.375
Tm 0.625 0.875 0.750
Mo 0.500 0.500 0.000
Mo 0.000 0.000 0.000
N 0.704 0.528 0.619
Mo 0.000 0.500 0.500
N 0.415 0.825 0.796
Tm 0.375 0.125 0.250
N 0.825 0.796 0.415
N 0.381 0.585 0.910
N 0.296 0.472 0.381
N 0.675 0.085 0.704
N 0.585 0.175 0.204
Mo 0.000 0.500 0.000
N 0.675 0.090 0.972
Mo 0.500 0.000 0.000
Tm 0.875 0.625 0.250
N 0.410 0.085 0.881
Nb 0.375 0.625 0.750
Nb 0.375 0.250 0.625
N 0.590 0.175 0.472
Nb 0.750 0.375 0.625
Tm 0.750 0.625 0.875
N 0.910 0.028 0.325
N 0.085 0.881 0.410
N 0.590 0.915 0.119
N 0.410 0.825 0.528
Nb 0.125 0.750 0.875
N 0.585 0.910 0.381
N 0.028 0.325 0.910
Mo 0.500 0.500 0.500
Tm 0.750 0.125 0.375
N 0.028 0.204 0.119
Tm 0.250 0.875 0.625
N 0.204 0.119 0.028
Nb 0.875 0.250 0.125
N 0.915 0.296 0.325
Nb 0.250 0.125 0.875
Mo 0.000 0.000 0.500
N 0.472 0.590 0.175
N 0.381 0.296 0.472
Tm 0.250 0.375 0.125
N 0.415 0.090 0.619
N 0.175 0.204 0.585
Tm 0.875 0.750 0.625
Tm 0.125 0.250 0.375
N 0.528 0.410 0.825
Nb 0.125 0.875 0.250
N 0.915 0.119 0.590
N 0.119 0.590 0.915
N 0.881 0.410 0.085
N 0.119 0.028 0.204
N 0.825 0.528 0.410
N 0.325 0.910 0.028
N 0.881 0.972 0.796
N 0.085 0.704 0.675


Sequential calculated total energy output: -206.80 -193.51 -192.09 -724.49 eV per cell
Sequential density output: 8.6 10.5 10.8 7.4 g/cm3